1.
4
Lattice="-1.573 -5.411 1.368 2.744 -4.174 -2.945 0.956 4.538 3.481" Properties=species:S:1:pos:R:3 comment="PBE SrMgTc2, optimized geometry" final_energy_ev_per_cell=-21.9 dos_ef_per_ev_atom=0.84 density_g_cm3=5.6 ef_ev_per_atom=0.5155 vol_a3_per_cell=91.2 pbc="T T T"
Mg 0.586 -4.796 -0.789
Sr 2.115 -1.993 -0.090
Tc 1.122 -9.187 -1.511
Tc 0.059 -3.448 1.929

2.
4
Lattice="5.589 0.080 0.000 1.794 5.294 0.000 -3.692 -2.687 3.224" Properties=species:S:1:pos:R:3 comment="PBE ThNp3, optimized geometry" final_energy_ev_per_cell=-43.8 dos_ef_per_ev_atom=3.53 density_g_cm3=16.5 ef_ev_per_atom=0.6214 vol_a3_per_cell=94.9 pbc="T T T"
Th 0.000 0.000 0.000
Np 2.794 0.040 1.612
Np 0.897 2.647 1.612
Np 3.692 2.687 0.000

3.
10
Lattice="-5.332 3.884 3.458 -4.189 -0.273 -6.153 -1.437 -2.961 1.110" Properties=species:S:1:pos:R:3 comment="PBE Sc2CdMo2, optimized geometry" relative_energy_mev_per_atom=331 final_energy_ev_per_cell=-65.6 dos_ef_per_ev_atom=1.34 density_g_cm3=6.8 ef_ev_per_atom=0.4852 vol_a3_per_cell=192.7 pbc="T T T"
Sc -5.571 1.182 -4.060
Sc -7.272 3.187 -0.915
Sc -3.950 2.429 1.365
Sc -2.249 0.424 -1.780
Mo -4.400 -1.015 -2.971
Mo -7.764 0.882 -2.267
Mo -6.558 1.666 1.385
Mo -3.194 -0.231 0.682
Cd 0.000 0.000 0.000
Cd -4.760 1.806 -1.347

4.
13
Lattice="-5.797 -6.256 0.250 8.241 -1.865 -1.187 1.985 4.263 7.077" Properties=species:S:1:pos:R:3 comment="PBE La8Ir4Au, optimized geometry" final_energy_ev_per_cell=-86.9 dos_ef_per_ev_atom=0.78 density_g_cm3=7.9 ef_ev_per_atom=-0.6775 vol_a3_per_cell=436.5 pbc="T T T"
La 3.749 -3.443 0.771
La 0.680 -0.415 5.369
La -0.373 -2.526 1.380
La 3.587 2.704 5.226
La 4.802 -1.333 4.761
La 7.683 1.777 4.636
La -3.255 -5.635 1.504
La 0.842 -6.563 0.914
Ir 0.000 0.000 0.000
Ir 6.105 3.330 6.483
Ir 1.222 -4.061 -0.469
Ir -2.899 -3.128 0.125
Au 5.113 1.199 2.945

5.
4
Lattice="4.329 0.000 0.000 -2.163 3.748 0.000 -2.164 -1.249 7.489" Properties=species:S:1:pos:R:3 comment="PBE NdSmBiSe, optimized geometry" e_form_raw_ev_per_atom=-1.31 final_energy_ev_per_cell=-22.1 dos_ef_per_ev_atom=0.68 density_g_cm3=8.0 vol_a3_per_cell=121.5 pbc="T T T"
Nd 2.574 0.976 2.586
Sm -1.754 0.976 6.697
Bi 0.410 -0.273 4.665
Se -1.755 3.474 0.802

6.
16
Lattice="-3.506 -5.900 -1.949 2.637 -0.857 6.572 -6.954 3.078 3.192" Properties=species:S:1:pos:R:3 comment="PBE Nd3ErP4, optimized geometry" final_energy_ev_per_cell=-105.7 dos_ef_per_ev_atom=0.11 density_g_cm3=6.1 ef_ev_per_atom=-1.5449 vol_a3_per_cell=395.6 pbc="T T T"
P -7.218 -4.148 1.687
P -7.233 -0.453 3.420
P -3.665 -1.995 1.835
P -0.202 0.162 1.972
P -7.620 -3.841 5.843
P -4.158 -1.685 5.979
P -0.589 -3.227 4.395
P -0.605 0.468 6.128
Nd -5.228 -3.275 -0.269
Nd -5.231 0.452 1.512
Nd -5.667 -2.926 3.824
Nd -2.173 -4.472 2.220
Nd -2.155 -0.754 3.991
Nd -5.649 0.792 5.595
Er -8.722 -1.729 1.335
Er -1.737 -1.094 -0.092

Please write out number 5 again, unchanged.
4
Lattice="4.329 0.000 0.000 -2.163 3.748 0.000 -2.164 -1.249 7.489" Properties=species:S:1:pos:R:3 comment="PBE NdSmBiSe, optimized geometry" e_form_raw_ev_per_atom=-1.31 final_energy_ev_per_cell=-22.1 dos_ef_per_ev_atom=0.68 density_g_cm3=8.0 vol_a3_per_cell=121.5 pbc="T T T"
Nd 2.574 0.976 2.586
Sm -1.754 0.976 6.697
Bi 0.410 -0.273 4.665
Se -1.755 3.474 0.802

What did the fourth record say?
13
Lattice="-5.797 -6.256 0.250 8.241 -1.865 -1.187 1.985 4.263 7.077" Properties=species:S:1:pos:R:3 comment="PBE La8Ir4Au, optimized geometry" final_energy_ev_per_cell=-86.9 dos_ef_per_ev_atom=0.78 density_g_cm3=7.9 ef_ev_per_atom=-0.6775 vol_a3_per_cell=436.5 pbc="T T T"
La 3.749 -3.443 0.771
La 0.680 -0.415 5.369
La -0.373 -2.526 1.380
La 3.587 2.704 5.226
La 4.802 -1.333 4.761
La 7.683 1.777 4.636
La -3.255 -5.635 1.504
La 0.842 -6.563 0.914
Ir 0.000 0.000 0.000
Ir 6.105 3.330 6.483
Ir 1.222 -4.061 -0.469
Ir -2.899 -3.128 0.125
Au 5.113 1.199 2.945